No. 1
TbHoGaPd | PBE-GGA | optimized geometry

Unit cell a=4.4932 b=3.7322 c=11.0165 alpha=90.00 beta=90.00 gamma=90.00
Closest atoms and distances in Å follow each position.
Space group Amm2 (No. 38)
Symmetry-distinct sites (fractional):
Tb 0.0000 0.0000 0.0000  4 Pd 3.02, 3 Ga 3.06-3.08
Ho 0.5000 0.0000 0.2838  4 Ga 3.00, 3 Pd 3.01-3.14
Ga 0.0000 0.0000 0.7219  2 Pd 2.81, 4 Ho 3.00, 3 Tb 3.06-3.08
Pd 0.5000 0.0000 0.5690  2 Ga 2.81, 3 Ho 3.01-3.14, 4 Tb 3.02

## Properties
* formation energy from the elements: -0.744 eV per atom
* calculated volume: 184.7 Å³ per cell
* D(E_F): 3.117 states/eV/f.u.
* distance to the lowest polymorph of the same formula: 0.0 meV per atom

=====

No. 2
TbHoGaPd | PBE-GGA | optimized geometry

Unit cell a=7.1012 b=7.1012 c=7.1012 alpha=90.00 beta=90.00 gamma=90.00
Closest atoms and distances in Å follow each position.
Space group F-43m (No. 216)
Symmetry-distinct sites (fractional):
Tb 0.0000 0.0000 0.0000  4 Pd 3.07, 4 Ga 3.07
Ho 0.0000 0.0000 0.5000  4 Pd 3.07, 4 Ga 3.07
Ga 0.2500 0.2500 0.2500  4 Tb 3.07, 4 Ho 3.07
Pd 0.2500 0.2500 0.7500  4 Tb 3.07, 4 Ho 3.07

## Properties
* formation energy from the elements: -0.706 eV per atom
* calculated volume: 358.1 Å³ per cell
* D(E_F): 3.242 states/eV/f.u.
* distance to the lowest polymorph of the same formula: 38.2 meV per atom

=====

No. 3
HoThGaPd | PBE-GGA | optimized geometry

Unit cell a=7.2321 b=7.2321 c=7.2321 alpha=90.00 beta=90.00 gamma=90.00
Closest atoms and distances in Å follow each position.
Space group F-43m (No. 216)
Symmetry-distinct sites (fractional):
Ho 0.0000 0.0000 0.0000  4 Pd 3.13, 4 Ga 3.13
Th 0.0000 0.0000 0.5000  4 Pd 3.13, 4 Ga 3.13
Ga 0.2500 0.2500 0.7500  4 Th 3.13, 4 Ho 3.13
Pd 0.2500 0.2500 0.2500  4 Th 3.13, 4 Ho 3.13

## Properties
* formation energy from the elements: -0.573 eV per atom
* calculated volume: 378.3 Å³ per cell
* D(E_F): 3.597 states/eV/f.u.

=====

No. 4
Ho2TiGa4Pd3 | PBE-GGA | optimized geometry

Unit cell a=4.0165 b=4.0165 c=11.6347 alpha=90.00 beta=90.00 gamma=90.00
Closest atoms and distances in Å follow each position.
Space group P-4m2 (No. 115)
Symmetry-distinct sites (fractional):
Ho 0.0000 0.5000 0.2480  4 Ga 3.08, 4 Pd 3.13
Ti 0.5000 0.5000 0.0000  4 Ga 2.63, 4 Pd 2.84
Ga 0.0000 0.0000 0.5000  4 Pd 2.58, 4 Ga 2.84
Ga 0.0000 0.5000 0.8539  3 Pd 2.50-2.63, 2 Ti 2.63
Ga 0.5000 0.5000 0.5000  4 Pd 2.58, 4 Ga 2.84
Pd 0.0000 0.0000 0.0000  4 Ga 2.63, 4 Ti 2.84
Pd 0.0000 0.5000 0.6393  5 Ga 2.50-2.58

## Properties
* formation energy from the elements: -0.688 eV per atom
* calculated volume: 187.7 Å³ per cell
* D(E_F): 7.327 states/eV/f.u.

=====

No. 5
HoTmGa2Pd2 | PBE-GGA | optimized geometry

Unit cell a=4.4895 b=4.4895 c=6.7352 alpha=90.00 beta=90.00 gamma=120.00
Closest atoms and distances in Å follow each position.
Space group P-3m1 (No. 164)
Symmetry-distinct sites (fractional):
Ho 0.0000 0.0000 0.0000  6 Ga 3.11, 6 Pd 3.12, 2 Tm 3.37
Tm 0.0000 0.0000 0.5000  6 Pd 3.06, 6 Ga 3.07, 2 Ho 3.37
Ga 0.3333 0.6667 0.7442  3 Pd 2.59
Pd 0.3333 0.6667 0.2576  3 Ga 2.59

## Properties
* formation energy from the elements: -0.865 eV per atom
* calculated volume: 117.6 Å³ per cell
* D(E_F): 4.315 states/eV/f.u.

=====

No. 6
YHoGa2Pd5 | PBE-GGA | optimized geometry

Unit cell a=4.1987 b=4.1987 c=9.2562 alpha=90.00 beta=90.00 gamma=90.00
Closest atoms and distances in Å follow each position.
Space group P4/mmm (No. 123)
Symmetry-distinct sites (fractional):
Y 0.0000 0.0000 0.0000  12 Pd 2.95-2.97
Ho 0.0000 0.0000 0.5000  8 Ga 3.22, 8 Pd 3.31
Ga 0.5000 0.5000 0.3665  1 Ga 2.47, 4 Pd 2.48
Pd 0.0000 0.5000 0.2233  2 Ga 2.48
Pd 0.5000 0.5000 0.0000  8 Pd 2.95, 4 Y 2.97

## Properties
* formation energy from the elements: -0.814 eV per atom
* calculated volume: 163.2 Å³ per cell
* D(E_F): 4.614 states/eV/f.u.

=====

No. 7
YHoGa2Pd2 | PBE-GGA | optimized geometry

Unit cell a=4.4934 b=4.4934 c=6.8675 alpha=90.00 beta=90.00 gamma=120.00
Closest atoms and distances in Å follow each position.
Space group P-3m1 (No. 164)
Symmetry-distinct sites (fractional):
Y 0.0000 0.0000 0.0000  6 Ga 3.13, 6 Pd 3.14, 2 Ho 3.43
Ho 0.0000 0.0000 0.5000  6 Pd 3.09, 6 Ga 3.10, 2 Y 3.43
Ga 0.3333 0.6667 0.7459  3 Pd 2.59
Pd 0.3333 0.6667 0.2566  3 Ga 2.59

## Properties
* formation energy from the elements: -0.864 eV per atom
* calculated volume: 120.1 Å³ per cell
* D(E_F): 4.656 states/eV/f.u.

=====

No. 8
HoZnGa2Pd2 | PBE-GGA | optimized geometry

Unit cell a=4.3608 b=4.3608 c=6.4459 alpha=90.00 beta=90.00 gamma=120.00
Closest atoms and distances in Å follow each position.
Space group P-3m1 (No. 164)
Symmetry-distinct sites (fractional):
Ho 0.0000 0.0000 0.0000  6 Ga 3.04, 2 Zn 3.22, 6 Pd 3.26
Zn 0.0000 0.0000 0.5000  6 Pd 2.77, 6 Ga 2.94
Ga 0.3333 0.6667 0.7350  4 Pd 2.54-2.66
Pd 0.3333 0.6667 0.3220  4 Ga 2.54-2.66, 3 Zn 2.77

## Properties
* formation energy from the elements: -0.662 eV per atom
* calculated volume: 106.2 Å³ per cell
* D(E_F): 2.667 states/eV/f.u.

=====

> Look up the D(E_F) of the second one.

3.242 states/eV/f.u.

=====

> The highest formation energy from the elements belongs to which entry?

HoThGaPd

=====

> The highest calculated volume belongs to which entry?

HoThGaPd

=====

> What is the formula in the second record?

TbHoGaPd